DFT (PBE) results for HfNb after structural relaxation.

Cell: 5.615 5.615 5.615 Å, 90.00 90.00 90.00°
Sites, in units of the cell vectors:
Hf (0.500, 0.500, 0.500)
Hf (0.500, 0.000, 0.000)
Hf (0.000, 0.500, 0.000)
Hf (0.000, 0.000, 0.500)
Nb (0.000, 0.000, 0.000)
Nb (0.000, 0.500, 0.500)
Nb (0.500, 0.000, 0.500)
Nb (0.500, 0.500, 0.000)

Summary:
- magnetic moment (μB/atom) = 0.000
- E (eV/atom) = -9.01
- E_form (meV/atom) = 997


DFT (PBE) results for HfNb after structural relaxation.

Cell: 9.649 4.749 7.019 Å, 90.00 90.00 90.00°
Sites, in units of the cell vectors:
Hf (0.378, 0.250, 0.221)
Hf (0.878, 0.250, 0.279)
Hf (0.622, 0.750, 0.779)
Hf (0.122, 0.750, 0.721)
Hf (0.115, 0.250, 0.999)
Hf (0.615, 0.250, 0.501)
Hf (0.885, 0.750, 0.001)
Hf (0.385, 0.750, 0.499)
Nb (0.374, 0.250, 0.770)
Nb (0.874, 0.250, 0.730)
Nb (0.626, 0.750, 0.230)
Nb (0.126, 0.750, 0.270)
Nb (0.137, 0.250, 0.495)
Nb (0.637, 0.250, 0.005)
Nb (0.863, 0.750, 0.505)
Nb (0.363, 0.750, 0.995)

Summary:
- magnetic moment (μB/atom) = 0.000
- E (eV/atom) = -9.95
- E_form (meV/atom) = 62


DFT (PBE) results for Hf2Nb after structural relaxation.

Cell: 3.472 3.472 5.726 Å, 107.67 107.67 89.96°
Sites, in units of the cell vectors:
Nb (0.500, 0.500, 0.000)
Hf (0.154, 0.154, 0.309)
Hf (0.846, 0.846, 0.691)

Summary:
- magnetic moment (μB/atom) = 0.000
- E (eV/atom) = -9.91
- E_form (meV/atom) = 87


> The highest E_form belongs to which entry?

number 1